The following is a GGA-PBE calculation of a relaxed BiMoS2 crystal, from Alexandria. Values from VASP.

Quantum ESPRESSO input file:
```
&SYSTEM
  ibrav = 0, nat = 8, ntyp = 3
/
ATOMIC_SPECIES
Bi 208.98 Bi.upf
Mo 95.94 Mo.upf
S 32.06 S.upf
CELL_PARAMETERS angstrom
3.2691 -0.0902 -0.2769
-0.0388 5.4208 -2.2031
-0.7541 -1.0405 10.6949
ATOMIC_POSITIONS crystal
Bi 0.4853 0.7929 0.9746
Bi 0.5702 0.3932 0.1288
Mo 0.2815 0.9082 0.5596
Mo 0.7738 0.2778 0.5437
S 0.7121 0.5590 0.4193
S 0.1873 0.0147 0.3689
S 0.3432 0.6270 0.6840
S 0.8681 0.1713 0.7344
```

Results
uncorrected formation energy	-0.518	eV/atom
total energy	-50.08	eV per cell